Record 1
A plane-wave DFT calculation with GGA-PBE was carried out for a relaxed structure of K2AsOs.

The structure belongs to space group Cmmm (No. 65); the cell edges are 5.756, 10.844 and 2.774 Å and the angles 90.00°, 90.00° and 90.00°. The inequivalent atoms are K at (0.250, 0.250, 0.000), As at (0.000, 0.000, 0.500) and Os at (0.000, 0.500, 0.500).

The calculation puts the density of states at the Fermi level at 0.9328 states/eV/atom. The total energy comes out at -3.68 eV per atom. The magnetization comes out at 0.0 μB/f.u. The value obtained for the energy of formation from the pure elements is 0.84 eV/atom.

=====

Record 2
A plane-wave DFT calculation with GGA-PBE was carried out for a relaxed structure of CsAg2Sn.

The structure belongs to space group R-3m (No. 166, hexagonal axes); the cell edges are 4.9055, 4.9055 and 20.1951 Å and the angles 90.00°, 90.00° and 120.00°. The inequivalent atoms are Cs at (0.0000, 0.0000, 0.0000), Ag at (0.0000, 0.0000, 0.1818) and Sn at (0.0000, 0.0000, 0.5000).

The calculation puts the density of states at the Fermi level at 0.7407 states/eV/atom. The total energy comes out at -2.72 eV per atom. The magnetization comes out at 0.0 μB/f.u. The value obtained for the energy of formation from the pure elements is -0.08 eV/atom.

=====

Record 3
A plane-wave DFT calculation with GGA-PBE was carried out for a relaxed structure of HRuW.

The structure belongs to space group Cmme (No. 67); the cell edges are 5.726, 5.750 and 4.036 Å and the angles 90.00°, 90.00° and 90.00°. The inequivalent atoms are H at (0.000, 0.250, 0.226), Ru at (0.250, 0.250, 0.000) and W at (0.000, 0.000, 0.500).

The excess energy over the best structure of this formula in the dataset comes out at 75 meV/atom. The calculation puts the density of states at the Fermi level at 0.3525 states/eV/atom. The total energy comes out at -8.34 eV per atom. The magnetization comes out at 0.0 μB/f.u.

=====

Record 4
A plane-wave DFT calculation with GGA-PBE was carried out for a relaxed structure of TcSnGe3.

The structure belongs to space group Pm-3m (No. 221); the cell edges are 4.873, 4.873 and 4.873 Å and the angles 90.00°, 90.00° and 90.00°. The inequivalent atoms are Tc at (0.000, 0.000, 0.000), Sn at (0.500, 0.500, 0.500) and Ge at (0.000, 0.000, 0.500).

The excess energy over the best structure of this formula in the dataset comes out at 0 meV/atom. The calculation puts the density of states at the Fermi level at 1.0929 states/eV/atom. The total energy comes out at -5.30 eV per atom. The magnetization comes out at 0.5 μB/f.u. The value obtained for the energy of formation from the pure elements is 0.34 eV/atom.

=====

Repeat the fourth record exactly.
A plane-wave DFT calculation with GGA-PBE was carried out for a relaxed structure of TcSnGe3.

The structure belongs to space group Pm-3m (No. 221); the cell edges are 4.873, 4.873 and 4.873 Å and the angles 90.00°, 90.00° and 90.00°. The inequivalent atoms are Tc at (0.000, 0.000, 0.000), Sn at (0.500, 0.500, 0.500) and Ge at (0.000, 0.000, 0.500).

The excess energy over the best structure of this formula in the dataset comes out at 0 meV/atom. The calculation puts the density of states at the Fermi level at 1.0929 states/eV/atom. The total energy comes out at -5.30 eV per atom. The magnetization comes out at 0.5 μB/f.u. The value obtained for the energy of formation from the pure elements is 0.34 eV/atom.

=====

What is the formula in the fourth record?
TcSnGe3